No. 1
Computed, not measured: a geometry-optimized CeThIrRh structure at the PBE level of DFT.

Computed properties:
Total moment = 0.000 μB/atom
E_form = -18.9 kcal/mol of atoms
E = -32.8 eV for the cell shown
Theoretical density = 11.6 g/cm3

The structure in CIF format:
```
data_CeThIrRh
_chemical_formula_sum 'Ce1 Th1 Ir1 Rh1'
_space_group_name_H-M_alt 'P 1'
_space_group_IT_number 1
_cell_length_a 4.057
_cell_length_b 4.057
_cell_length_c 5.793
_cell_angle_alpha 89.99
_cell_angle_beta 90.00
_cell_angle_gamma 90.00
loop_
_space_group_symop_operation_xyz
'x,y,z'
loop_
_atom_site_label
_atom_site_type_symbol
_atom_site_fract_x
_atom_site_fract_y
_atom_site_fract_z
Rh1 Rh 0.500 0.392 0.593
Ce1 Ce 0.500 0.391 0.093
Ir1 Ir 0.000 0.891 0.092
Th1 Th 0.000 0.892 0.592
```

***

No. 2
Computed, not measured: a geometry-optimized Cr2CuAg structure at the PBE level of DFT.

Computed properties:
Total moment = 0.072 μB/atom
E_form = 14.3 kcal/mol of atoms
E = -23.7 eV for the cell shown
Theoretical density = 8.5 g/cm3

The structure in CIF format:
```
data_Cr2CuAg
_chemical_formula_sum 'Cr2 Cu1 Ag1'
_space_group_name_H-M_alt 'P 1'
_space_group_IT_number 1
_cell_length_a 9.185
_cell_length_b 9.185
_cell_length_c 9.185
_cell_angle_alpha 16.37
_cell_angle_beta 16.37
_cell_angle_gamma 16.37
loop_
_space_group_symop_operation_xyz
'x,y,z'
loop_
_atom_site_label
_atom_site_type_symbol
_atom_site_fract_x
_atom_site_fract_y
_atom_site_fract_z
Cu1 Cu 0.250 0.250 0.250
Cr1 Cr 0.505 0.505 0.505
Cr2 Cr 0.995 0.995 0.995
Ag1 Ag 0.750 0.750 0.750
```

***

No. 3
Computed, not measured: a geometry-optimized Ca3ScMo structure at the PBE level of DFT.

Computed properties:
Total moment = 0.514 μB/atom
E_form = 21.3 kcal/mol of atoms
E = -18.5 eV for the cell shown
Theoretical density = 2.5 g/cm3

The structure in CIF format:
```
data_Ca3ScMo
_chemical_formula_sum 'Ca3 Sc1 Mo1'
_space_group_name_H-M_alt 'P 1'
_space_group_IT_number 1
_cell_length_a 5.548
_cell_length_b 5.548
_cell_length_c 5.548
_cell_angle_alpha 90.00
_cell_angle_beta 90.00
_cell_angle_gamma 90.00
loop_
_space_group_symop_operation_xyz
'x,y,z'
loop_
_atom_site_label
_atom_site_type_symbol
_atom_site_fract_x
_atom_site_fract_y
_atom_site_fract_z
Ca1 Ca 0.000 0.500 0.000
Ca2 Ca 0.500 0.000 0.000
Ca3 Ca 0.000 0.000 0.500
Sc1 Sc 0.500 0.500 0.500
Mo1 Mo 0.000 0.000 0.000
```

***

No. 4
Computed, not measured: a geometry-optimized VHgP2Cl structure at the PBE level of DFT.

Computed properties:
Total moment = 0.111 μB/atom
E_form (uncorrected) = 138.58 kJ per mole of atoms
E = -14.9 eV for the cell shown
Theoretical density = 4.6 g/cm3

The structure in CIF format:
```
data_VHgP2Cl
_chemical_formula_sum 'V1 Hg1 P2 Cl1'
_space_group_name_H-M_alt 'P 1'
_space_group_IT_number 1
_cell_length_a 4.906
_cell_length_b 4.906
_cell_length_c 5.245
_cell_angle_alpha 90.00
_cell_angle_beta 90.00
_cell_angle_gamma 90.00
loop_
_space_group_symop_operation_xyz
'x,y,z'
loop_
_atom_site_label
_atom_site_type_symbol
_atom_site_fract_x
_atom_site_fract_y
_atom_site_fract_z
Hg1 Hg 0.000 0.000 0.000
V1 V 0.500 0.500 0.500
P1 P 0.000 0.500 0.000
P2 P 0.500 0.000 0.000
Cl1 Cl 0.000 0.000 0.500
```

***

Question: What is the formula in the second record?
Answer: Cr2CuAg